(1)
Here is CaCr2W after structural relaxation from Alexandria via LeMat-Bulk. Energies are from GGA-PBEsol.

Volume   15.7 A^3/atom
M_tot   3.5 Bohr magnetons per cell
Energy relative to the elements   924 meV/atom

Lattice parameters (Å, degrees): 3.0986 4.5017 4.5017 90.00 90.00 90.00
Closest atoms and distances in Å follow each position.
Fractional positions:
Ca 0.5000 0.0000 0.0000  8 Cr 2.73
W 0.5000 0.5000 0.5000  8 Cr 2.73
Cr 0.0000 0.5000 0.0000  4 W 2.73, 4 Ca 2.73
Cr 0.0000 0.0000 0.5000  4 W 2.73, 4 Ca 2.73

=====

(2)
Here is Li5Nb2Fe5O12 after structural relaxation from Alexandria via LeMat-Bulk. Energies are from GGA-PBEsol.

Volume   9.2 A^3/atom
E_form (uncorrected)   -1736 meV per atom
M_tot   19.0 Bohr magnetons per cell

Lattice parameters (Å, degrees): 5.0520 5.1277 9.8928 84.64 79.23 60.91
Closest atoms and distances in Å follow each position.
Fractional positions:
O 0.8869 0.4964 0.8731  2 Fe 2.02-2.08, 1 Nb 2.03, 3 Li 2.11-2.15
Nb 0.7517 0.5281 0.2507  6 O 2.04-2.13
Fe 0.4526 0.1199 0.2507  5 O 2.02-2.19
Li 0.1635 0.1504 0.9987  6 O 2.01-2.16
Fe 0.4990 0.5035 0.9756  5 O 2.02-2.19
O 0.6953 0.8305 0.3952  2 Li 1.99-2.04, 3 Fe 2.05-2.09, 1 Nb 2.09
O 0.7896 0.1822 0.1318  2 Fe 2.02-2.09, 2 Li 2.04-2.18, 1 Nb 2.13
O 0.9771 0.8240 0.6279  3 Li 1.96-2.10, 2 Fe 2.05-2.13, 1 Nb 2.08
Li 0.3078 0.8680 0.5073  4 O 1.96-2.12
Fe 0.0575 0.8191 0.2486  6 O 2.02-2.23
O 0.0383 0.1781 0.3670  1 Nb 2.09, 3 Fe 2.09-2.23, 2 Li 2.12-2.13
O 0.3792 0.4996 0.3669  1 Nb 2.08, 3 Fe 2.11-2.19, 2 Li 2.24-2.29
O 0.6259 0.4917 0.6282  1 Nb 2.02, 2 Fe 2.04-2.06, 3 Li 2.08-2.24
Fe 0.5876 0.8162 0.7508  6 O 2.06-2.19
Li 0.6751 0.1559 0.5076  6 O 2.04-2.24
O 0.4709 0.8182 0.1205  1 Nb 2.04, 2 Li 2.06-2.12, 3 Fe 2.06-2.23
Fe 0.9964 0.5054 0.5102  6 O 2.04-2.20
O 0.1851 0.8490 0.8742  3 Li 1.97-2.01, 2 Fe 2.05-2.10, 1 Nb 2.05
O 0.1310 0.4962 0.1208  2 Fe 2.02-2.14, 1 Nb 2.04, 2 Li 2.16-2.26
O 0.2863 0.1847 0.6291  3 Li 2.02-2.06, 2 Fe 2.04-2.19, 1 Nb 2.09
Li 0.9294 0.1533 0.7470  6 O 1.99-2.15
Nb 0.2582 0.5038 0.7563  6 O 2.02-2.09
O 0.5391 0.1624 0.8706  3 Li 1.98-2.10, 2 Fe 2.02-2.12, 1 Nb 2.04
Li 0.8166 0.8636 0.9911  5 O 1.97-2.18